# Cs3CaGe2Br9 GGA-PBE relaxed
data_Cs3CaGe2Br9
_chemical_formula_sum 'Cs3 Ca1 Ge2 Br9'
_cell_length_a 8.024
_cell_length_b 8.024
_cell_length_c 9.824
_cell_angle_alpha 90.00
_cell_angle_beta 90.00
_cell_angle_gamma 120.00
_symmetry_space_group_name_H-M 'P 1'
_symmetry_Int_Tables_number 1
_symmetry_space_group_name_Hall 'P 1'
loop_
_atom_site_label
_atom_site_fract_x
_atom_site_fract_y
_atom_site_fract_z
_atom_site_occupancy
Cs1 0.000 0.000 0.000 1
Cs2 0.333 0.667 0.667 1
Cs3 0.667 0.333 0.333 1
Ca1 0.000 0.000 0.500 1
Ge1 0.333 0.667 0.161 1
Ge2 0.667 0.333 0.839 1
Br1 0.000 0.500 0.000 1
Br2 0.169 0.339 0.330 1
Br3 0.169 0.831 0.330 1
Br4 0.339 0.169 0.670 1
Br5 0.500 0.000 0.000 1
Br6 0.500 0.500 0.000 1
Br7 0.661 0.831 0.330 1
Br8 0.831 0.169 0.670 1
Br9 0.831 0.661 0.670 1
# Raw total energy   -49.53 eV/cell